DFT (PBE+U) results for a relaxed NiAuO2 crystal.

Computed properties:
Space group: No. 122
Energy (eV/cell): -32.075
V (Å³/atom): 14.04

The structure in POSCAR format:
```
NiAuO2
1.0
-2.386 2.386 4.931
2.386 -2.386 4.931
2.386 2.386 -4.931
Ni Au O
2 2 4
Cartesian
0.000 0.000 0.000 Ni
0.000 2.386 2.466 Ni
2.386 0.000 2.466 Au
0.000 0.000 4.931 Au
3.580 0.917 -1.233 O
0.917 1.193 1.233 O
-1.193 1.469 3.699 O
1.469 1.193 6.164 O
```